# PPdS2N

A geometry-optimized PPdS2N structure (PBE-GGA, the Alexandria database).

Calculated values
space-group type	P4/mmm (123)
Fermi-level density of states	0.8003	states/eV per atom
polymorph energy (0 for the lowest one)	2.39	eV/f.u.
formation energy from raw total energies	1.05	eV per atom

The structure in POSCAR format:
```
PPdS2N
1.0
4.2798 0.0000 0.0000
0.0000 4.2798 0.0000
0.0000 0.0000 3.8494
P S Pd N
1 2 1 1
Direct
0.0000 0.0000 0.5000 P
0.0000 0.5000 0.0000 S
0.5000 0.0000 0.0000 S
0.5000 0.5000 0.5000 Pd
0.0000 0.0000 0.0000 N
```

---

# PPdS2N

A geometry-optimized PPdS2N structure (PBE-GGA, the Alexandria database).

Calculated values
space-group type	P4/mmm (123)
Fermi-level density of states	0.5873	states/eV per atom
polymorph energy (0 for the lowest one)	3.06	eV/f.u.
formation energy from raw total energies	1.18	eV per atom

The structure in POSCAR format:
```
PPdS2N
1.0
-2.5325 -0.4530 -4.1060
-1.9532 -4.1125 1.6584
-2.7679 1.9177 1.4956
P S Pd N
1 2 1 1
Direct
0.5000 0.5000 0.5000 P
0.0000 0.5000 0.0000 S
0.5000 0.0000 0.0000 S
0.0000 0.0000 0.0000 Pd
0.0000 0.0000 0.5000 N
```

---

# PPdSN2

A geometry-optimized PPdSN2 structure (PBE-GGA, the Alexandria database).

Calculated values
space-group type	P4/mmm (123)
Fermi-level density of states	0.3768	states/eV per atom
polymorph energy (0 for the lowest one)	4.86	eV/f.u.
formation energy from raw total energies	1.69	eV per atom

The structure in POSCAR format:
```
PPdSN2
1.0
3.9018 0.0000 0.0000
0.0000 3.9018 0.0000
0.0000 0.0000 5.1449
P S Pd N
1 1 1 2
Direct
0.5000 0.5000 0.5000 P
0.0000 0.0000 0.5000 S
0.0000 0.0000 0.0000 Pd
0.0000 0.5000 0.0000 N
0.5000 0.0000 0.0000 N
```

---

# Si2PPdN

A geometry-optimized Si2PPdN structure (PBE-GGA, the Alexandria database).

Calculated values
space-group type	P4/mmm (123)
Fermi-level density of states	0.5861	states/eV per atom
formation energy from raw total energies	1.65	eV per atom

The structure in POSCAR format:
```
Si2PPdN
1.0
-2.5184 3.4463 1.8155
-2.7274 -3.0467 2.0001
2.7294 0.0188 3.7504
P Si Pd N
1 2 1 1
Direct
0.0000 0.5000 0.0000 P
0.0000 0.0000 0.5000 Si
0.5000 0.0000 0.0000 Si
0.0000 0.0000 0.0000 Pd
0.5000 0.5000 0.5000 N
```

---

# Sm2P2PdN6

A geometry-optimized Sm2P2PdN6 structure (PBE-GGA, the Alexandria database).

Calculated values
space-group type	R-3m (166)
Fermi-level density of states	0.0009	states/eV per atom
formation energy from raw total energies	-0.48	eV per atom

The structure in POSCAR format:
```
Sm2P2PdN6
1.0
5.4339 0.0000 0.0000
2.7170 4.7059 0.0000
2.7170 1.5686 5.4387
Sm P Pd N
2 2 1 6
Direct
0.7884 0.7884 0.6349 Sm
0.2116 0.2116 0.3651 Sm
0.4326 0.4326 0.7023 P
0.5674 0.5674 0.2977 P
0.0000 0.0000 0.0000 Pd
0.7497 0.7497 0.2628 N
0.2378 0.7497 0.2628 N
0.7497 0.2378 0.2628 N
0.2503 0.7622 0.7372 N
0.7622 0.2503 0.7372 N
0.2503 0.2503 0.7372 N
```

---

# Te2PPdN

A geometry-optimized Te2PPdN structure (PBE-GGA, the Alexandria database).

Calculated values
space-group type	P4/mmm (123)
Fermi-level density of states	0.7852	states/eV per atom
polymorph energy (0 for the lowest one)	2.50	eV/f.u.
formation energy from raw total energies	0.93	eV per atom

The structure in POSCAR format:
```
Te2PPdN
1.0
-1.5912 5.0813 -1.0951
-3.7640 -0.3366 3.9076
2.4431 1.2963 2.4649
P Te Pd N
1 2 1 1
Direct
0.5000 0.5000 0.5000 P
0.0000 0.5000 0.0000 Te
0.5000 0.0000 0.0000 Te
0.0000 0.0000 0.0000 Pd
0.0000 0.0000 0.5000 N
```

---

# Te2PPdN

A geometry-optimized Te2PPdN structure (PBE-GGA, the Alexandria database).

Calculated values
space-group type	P4/mmm (123)
Fermi-level density of states	0.6318	states/eV per atom
polymorph energy (0 for the lowest one)	0.00	eV/f.u.
formation energy from raw total energies	0.43	eV per atom

The structure in POSCAR format:
```
Te2PPdN
1.0
5.4135 0.0000 0.0000
0.0000 5.4135 0.0000
0.0000 0.0000 3.2361
P Te Pd N
1 2 1 1
Direct
0.0000 0.0000 0.0000 P
0.0000 0.5000 0.0000 Te
0.5000 0.0000 0.0000 Te
0.5000 0.5000 0.5000 Pd
0.0000 0.0000 0.5000 N
```

---

# ZrPPdN2

A geometry-optimized ZrPPdN2 structure (PBE-GGA, the Alexandria database).

Calculated values
space-group type	P4/mmm (123)
Fermi-level density of states	0.6295	states/eV per atom
formation energy from raw total energies	0.92	eV per atom

The structure in POSCAR format:
```
ZrPPdN2
1.0
-0.0361 2.1557 2.9664
-5.0164 -1.2507 0.8478
1.0570 -2.8345 2.0727
P Zr Pd N
1 1 1 2
Direct
0.0000 0.0000 0.0000 P
0.0000 0.5000 0.0000 Zr
0.5000 0.5000 0.5000 Pd
0.0000 0.0000 0.5000 N
0.5000 0.0000 0.0000 N
```

---

# Pm2PN

A geometry-optimized Pm2PN structure (PBE-GGA, the Alexandria database).

Calculated values
space-group type	R3m (160)
Fermi-level density of states	0.0674	states/eV per atom
polymorph energy (0 for the lowest one)	1.05	eV/f.u.
formation energy from raw total energies	-1.11	eV per atom

The structure in POSCAR format:
```
Pm2PN
1.0
-1.9586 -2.2134 2.3372
1.4574 -3.2771 1.1551
2.6344 1.2822 6.4592
Pm P N
2 1 1
Direct
0.0922 0.0922 0.7233 Pm
0.2447 0.2447 0.2660 Pm
0.6667 0.6667 0.9998 P
0.4964 0.4964 0.5109 N
```

---

# PmPN

A geometry-optimized PmPN structure (PBE-GGA, the Alexandria database).

Calculated values
space-group type	Cmce (64)
Fermi-level density of states	0.4323	states/eV per atom
polymorph energy (0 for the lowest one)	0.35	eV/f.u.
formation energy from raw total energies	-0.59	eV per atom

The structure in POSCAR format:
```
PmPN
1.0
5.4276 0.0000 0.0000
-2.7138 5.9521 0.0000
0.0000 0.0000 5.9510
P N Pm
4 4 4
Direct
0.6340 0.2680 0.3813 P
0.8660 0.7320 0.8813 P
0.3660 0.7320 0.6187 P
0.1340 0.2680 0.1187 P
0.2990 0.0980 0.2500 N
0.2010 0.9020 0.7500 N
0.7010 0.9020 0.7500 N
0.7990 0.0980 0.2500 N
0.8723 0.7446 0.4055 Pm
0.6277 0.2554 0.9055 Pm
0.1277 0.2554 0.5945 Pm
0.3723 0.7446 0.0945 Pm
```

---

# PmPN

A geometry-optimized PmPN structure (PBE-GGA, the Alexandria database).

Calculated values
space-group type	I4mm (107)
Fermi-level density of states	0.6741	states/eV per atom
polymorph energy (0 for the lowest one)	0.00	eV/f.u.
formation energy from raw total energies	-0.71	eV per atom

The structure in POSCAR format:
```
PmPN
1.0
-0.6240 1.9225 2.9288
-0.6758 -2.9851 1.8154
5.1046 0.2231 -1.2207
P Pm N
1 1 1
Direct
0.9954 0.9954 0.9908 P
0.6723 0.6723 0.3447 Pm
0.1823 0.1823 0.3645 N
```

---

# Pm2P2N5

A geometry-optimized Pm2P2N5 structure (PBE-GGA, the Alexandria database).

Calculated values
space-group type	P-1 (2)
Fermi-level density of states	0.1559	states/eV per atom
formation energy from raw total energies	-0.83	eV per atom

The structure in POSCAR format:
```
Pm2P2N5
1.0
5.3903 -0.0015 -1.6373
-0.2767 3.7808 -0.8046
-1.0159 0.9425 6.8049
Pm P N
2 2 5
Direct
0.4859 0.2534 0.2477 Pm
0.5141 0.7466 0.7523 Pm
0.0086 0.1409 0.7851 P
0.9914 0.8591 0.2149 P
0.7034 0.7360 0.1740 N
0.2966 0.2639 0.8260 N
0.7369 0.2866 0.6305 N
0.2631 0.7134 0.3695 N
0.0000 0.0000 0.0000 N
```

---

# Pm7PN5

A geometry-optimized Pm7PN5 structure (PBE-GGA, the Alexandria database).

Calculated values
space-group type	Cmcm (63)
Fermi-level density of states	0.2888	states/eV per atom
formation energy from raw total energies	-1.36	eV per atom

The structure in POSCAR format:
```
Pm7PN5
1.0
3.7000 0.0009 0.0000
-1.8486 6.0421 0.0071
0.0000 -0.0263 21.7628
Pm P N
14 2 10
Direct
0.4784 0.9563 0.2500 Pm
0.5221 0.0448 0.7500 Pm
0.6371 0.2743 0.0325 Pm
0.3636 0.7269 0.9675 Pm
0.3635 0.7269 0.5325 Pm
0.6370 0.2742 0.4675 Pm
0.1797 0.3591 0.1659 Pm
0.8208 0.6420 0.8341 Pm
0.8209 0.6420 0.6659 Pm
0.1797 0.3590 0.3341 Pm
0.9148 0.8298 0.1022 Pm
0.0858 0.1714 0.8978 Pm
0.0858 0.1714 0.6022 Pm
0.9148 0.8297 0.3978 Pm
0.8007 0.6014 0.2500 P
0.1998 0.3997 0.7500 P
0.0003 0.0006 0.0000 N
0.7263 0.4520 0.9278 N
0.2743 0.5493 0.0722 N
0.5502 0.1003 0.3577 N
0.4503 0.9008 0.6423 N
0.0003 0.0005 0.5000 N
0.2742 0.5492 0.4278 N
0.7263 0.4519 0.5722 N
0.4503 0.9008 0.8577 N
0.5503 0.1004 0.1423 N
```

---

# Pm6P2N

A geometry-optimized Pm6P2N structure (PBE-GGA, the Alexandria database).

Calculated values
space-group type	P2_1/c (14)
Fermi-level density of states	1.0203	states/eV per atom
formation energy from raw total energies	-0.95	eV per atom

The structure in POSCAR format:
```
Pm6P2N
1.0
6.4650 0.0000 0.0464
0.0000 7.4609 0.0000
0.3640 0.0000 9.4787
Pm P N
12 4 2
Direct
0.1452 0.0337 0.2553 Pm
0.1433 0.2950 0.5603 Pm
0.1685 0.3257 0.9468 Pm
0.3315 0.8257 0.5532 Pm
0.3567 0.7950 0.9397 Pm
0.3548 0.5337 0.2447 Pm
0.8548 0.9663 0.7447 Pm
0.8567 0.7050 0.4397 Pm
0.8315 0.6743 0.0532 Pm
0.6685 0.1743 0.4468 Pm
0.6433 0.2050 0.0603 Pm
0.6452 0.4663 0.7553 Pm
0.0616 0.6201 0.7576 P
0.4384 0.1201 0.7424 P
0.5616 0.8799 0.2576 P
0.9384 0.3799 0.2424 P
0.5000 0.5000 0.0000 N
0.0000 0.0000 0.5000 N
```

---

# PmPN3

A geometry-optimized PmPN3 structure (PBE-GGA, the Alexandria database).

Calculated values
space-group type	P6_3/m (176)
Fermi-level density of states	0.5876	states/eV per atom
formation energy from raw total energies	-0.23	eV per atom

The structure in POSCAR format:
```
PmPN3
1.0
4.9827 0.0000 0.0000
0.0000 4.7953 2.7686
0.0000 0.0000 5.5371
Pm P N
2 2 6
Direct
0.2500 0.6667 0.6667 Pm
0.7500 0.3333 0.3333 Pm
0.2500 0.0000 0.0000 P
0.7500 0.0000 0.0000 P
0.2500 0.2210 0.1050 N
0.2500 0.6740 0.2210 N
0.2500 0.1050 0.6740 N
0.7500 0.7790 0.8950 N
0.7500 0.3260 0.7790 N
0.7500 0.8950 0.3260 N
```

---

# Pm2PN

A geometry-optimized Pm2PN structure (PBE-GGA, the Alexandria database).

Calculated values
space-group type	P4/mmm (123)
Fermi-level density of states	0.4607	states/eV per atom
polymorph energy (0 for the lowest one)	3.06	eV/f.u.
formation energy from raw total energies	-0.61	eV per atom

The structure in POSCAR format:
```
Pm2PN
1.0
-0.3843 2.9090 -1.6552
-0.0226 -2.3598 -4.1422
-4.7362 -0.4614 0.2887
P N Pm
1 1 2
Direct
0.5000 0.0000 0.0000 P
0.5000 0.5000 0.5000 N
0.0000 0.0000 0.5000 Pm
0.0000 0.5000 0.0000 Pm
```

---

# Pm2PN3

A geometry-optimized Pm2PN3 structure (PBE-GGA, the Alexandria database).

Calculated values
space-group type	Cmce (64)
Fermi-level density of states	0.1750	states/eV per atom
formation energy from raw total energies	-0.98	eV per atom

The structure in POSCAR format:
```
Pm2PN3
1.0
5.2123 0.0000 0.1931
2.6061 5.6107 0.0965
-0.4317 0.0000 11.6479
Pm P N
8 4 12
Direct
0.5512 0.3976 0.3614 Pm
0.0512 0.3976 0.1386 Pm
0.4488 0.6024 0.6386 Pm
0.9488 0.6024 0.8614 Pm
0.3549 0.7902 0.0523 Pm
0.8549 0.7902 0.4477 Pm
0.6451 0.2098 0.9477 Pm
0.1451 0.2098 0.5523 Pm
0.7758 0.9485 0.1776 P
0.2758 0.9485 0.3224 P
0.2242 0.0515 0.8224 P
0.7242 0.0515 0.6776 P
0.5904 0.8193 0.2500 N
0.4096 0.1807 0.7500 N
0.6311 0.2377 0.1674 N
0.1312 0.2377 0.3326 N
0.3689 0.7623 0.8326 N
0.8688 0.7623 0.6674 N
0.6577 0.1846 0.5515 N
0.1577 0.1846 0.9485 N
0.3423 0.8154 0.4485 N
0.8423 0.8154 0.0515 N
0.0904 0.8192 0.2500 N
0.9096 0.1808 0.7500 N
```

---

# Pm2PN

A geometry-optimized Pm2PN structure (PBE-GGA, the Alexandria database).

Calculated values
space-group type	P2/c (13)
Fermi-level density of states	0.0583	states/eV per atom
polymorph energy (0 for the lowest one)	0.07	eV/f.u.
formation energy from raw total energies	-1.35	eV per atom

The structure in POSCAR format:
```
Pm2PN
1.0
-0.5531 -2.7933 -4.9306
5.4110 -1.8414 0.4362
-3.7064 -8.6066 5.2916
Pm P N
8 4 4
Direct
0.7758 0.9950 0.8935 Pm
0.2242 0.0050 0.1065 Pm
0.7758 0.5050 0.6065 Pm
0.2242 0.4950 0.3935 Pm
0.7619 0.4660 0.1434 Pm
0.2381 0.5340 0.8566 Pm
0.7619 0.0340 0.3566 Pm
0.2381 0.9660 0.6434 Pm
0.2631 0.9932 0.3750 P
0.7369 0.0068 0.6250 P
0.2631 0.5068 0.1250 P
0.7369 0.4932 0.8750 P
0.1893 0.5576 0.6239 N
0.8107 0.4424 0.3761 N
0.1893 0.9424 0.8761 N
0.8107 0.0576 0.1239 N
```

---

# Pm2PN

A geometry-optimized Pm2PN structure (PBE-GGA, the Alexandria database).

Calculated values
space-group type	Fm-3m (225)
Fermi-level density of states	0.4725	states/eV per atom
polymorph energy (0 for the lowest one)	3.06	eV/f.u.
formation energy from raw total energies	-0.61	eV per atom

The structure in POSCAR format:
```
Pm2PN
1.0
-1.5051 2.2311 -3.9437
-4.3892 1.8725 -0.1556
-0.5752 4.7397 0.0108
P N Pm
1 1 2
Direct
0.5000 0.5000 0.5000 P
0.0000 0.0000 0.0000 N
0.2500 0.2500 0.2500 Pm
0.7500 0.7500 0.7500 Pm
```

---

# PmP4N8

A geometry-optimized PmP4N8 structure (PBE-GGA, the Alexandria database).

Calculated values
space-group type	P-31m (162)
Fermi-level density of states	0.3715	states/eV per atom
formation energy from raw total energies	-0.42	eV per atom

The structure in POSCAR format:
```
PmP4N8
1.0
4.9506 0.0000 0.0000
-2.4753 4.2873 0.0000
0.0000 0.0000 8.1802
Pm P N
1 4 8
Direct
0.0000 0.0000 0.0000 Pm
0.6667 0.3333 0.2010 P
0.3333 0.6667 0.2010 P
0.6667 0.3333 0.7990 P
0.3333 0.6667 0.7990 P
0.6276 0.0000 0.2543 N
0.3724 0.3724 0.2543 N
0.0000 0.6276 0.2543 N
0.3724 0.0000 0.7457 N
0.0000 0.3724 0.7457 N
0.6276 0.6276 0.7457 N
0.6667 0.3333 0.0000 N
0.3333 0.6667 0.0000 N
```